A plane-wave DFT calculation with GGA-PBE was carried out for a relaxed structure of PmPr8Sm3.

a = 8.598 Å, b = 8.598 Å, c = 8.598 Å
α = 117.69°, β = 117.69°, γ = 94.05°
Sites, in units of the cell vectors:
Pm 0.000 0.000 0.000
Pr 0.127 0.127 0.753
Pr 0.249 0.749 0.000
Pr 0.251 0.251 0.501
Pr 0.374 0.374 0.247
Pr 0.626 0.873 0.000
Pr 0.749 0.249 0.000
Pr 0.751 0.751 0.499
Pr 0.873 0.626 0.000
Sm 0.250 0.750 0.500
Sm 0.500 0.500 0.000
Sm 0.750 0.250 0.500

The mass density is 6.169 g cm⁻³. Its total energy is -50.67 eV/f.u. The total magnetic moment comes out at 0.000 μB/atom. For the energy relative to the elements, the calculation gives 6.47 eV per formula unit.



A plane-wave DFT calculation with GGA-PBE was carried out for a relaxed structure of SmFeNiPt3.

a = 7.418 Å, b = 7.418 Å, c = 5.428 Å
α = 90.00°, β = 90.00°, γ = 135.92°
Sites, in units of the cell vectors:
Sm 0.172 0.828 0.750
Sm 0.828 0.172 0.250
Fe 0.381 0.619 0.750
Fe 0.619 0.381 0.250
Ni 0.136 0.864 0.250
Ni 0.864 0.136 0.750
Pt 0.248 0.248 0.000
Pt 0.248 0.248 0.500
Pt 0.321 0.679 0.250
Pt 0.679 0.321 0.750
Pt 0.752 0.752 0.000
Pt 0.752 0.752 0.500

The mass density is 13.588 g cm⁻³. Its total energy is -39.00 eV/f.u. The total magnetic moment comes out at 0.646 μB/atom. For the energy relative to the elements, the calculation gives -1.91 eV per formula unit.